# LiVF5 PBE+U optimized geometry
# E	-5.471	eV per atom
# total moment	4.00	μB/cell
data_LiVF5
_chemical_formula_sum 'Li4 V4 F20'
_space_group_name_H-M_alt 'P n m a'
_space_group_IT_number 62
_space_group_name_Hall '-P 2ac 2n'
_cell_length_a 5.9966
_cell_length_b 7.6974
_cell_length_c 7.7627
_cell_angle_alpha 90.00
_cell_angle_beta 90.00
_cell_angle_gamma 90.00
loop_
_atom_site_label
_atom_site_fract_x
_atom_site_fract_y
_atom_site_fract_z
_atom_site_occupancy
Li1 0.2301 0.2500 0.1534 1
V1 0.2354 0.7500 0.0979 1
F1 0.0034 0.7500 0.5171 1
F2 0.0848 0.2500 0.8133 1
F3 0.0982 0.7500 0.8781 1
F4 0.2193 0.5172 0.1243 1